La3Re | PBE | optimized geometry

a b c (Å): 5.6418 6.5914 3.7493
angles (deg): 73.48 90.00 115.34
With the nearest neighbours (Å) after each atom.
Atoms (fractional coordinates):
La 0.9455 0.8910 0.0545  2 Re 2.90
La 0.5545 0.1090 0.4455  2 Re 2.90
La 0.2500 0.5000 0.2500  4 Re 3.39, 6 La 3.58-3.75
Re 0.7500 0.5000 0.7500  4 La 2.90

Output
- SG: Immm, No. 71
- Final energy: -6.560 eV/atom